# 1
The following is a GGA-PBE calculation of an optimized crystal structure of Ac3LaB2N6, from the Alexandria database.

Output
size of the total moment	0.00	Bohr magnetons per cell
space-group type	P-3m1, No. 164
electronic total energy	-93.73	eV for the cell shown

```
Ac3LaB2N6
1.0
5.862 0.000 0.000
-2.931 5.077 0.000
0.000 0.000 6.720
Ac La B N
3 1 2 6
Direct
0.333 0.667 0.673
0.667 0.333 0.327
0.000 0.000 0.000
0.000 0.000 0.500
0.667 0.333 0.749
0.333 0.667 0.251
0.622 0.811 0.271
0.189 0.378 0.271
0.189 0.811 0.271
0.811 0.622 0.729
0.378 0.189 0.729
0.811 0.189 0.729
```

# 2
The following is a GGA-PBE calculation of an optimized crystal structure of SrTl2Re, from the Alexandria database.

Output
size of the total moment	0.00	Bohr magnetons per cell
space-group type	C2/m, No. 12
E_form	0.85	eV/atom
ΔE to the lowest computed polymorph	282	meV per atom

```
SrTl2Re
1.0
6.218 0.047 0.053
-2.792 5.240 -0.113
0.670 0.619 2.985
Re Sr Tl
1 1 2
Direct
0.500 0.500 0.000
0.500 0.000 0.500
0.000 0.000 0.000
0.000 0.500 0.500
```

# 3
The following is a GGA-PBE calculation of an optimized crystal structure of Ac4CoAs2, from the Alexandria database.

Output
size of the total moment	0.00	Bohr magnetons per cell
space-group type	I4/mmm, No. 139
E_form	-0.60	eV/atom

```
Ac4CoAs2
1.0
-3.960 0.274 -3.323
-2.783 -3.114 3.059
0.346 8.216 4.297
Ac Co As
4 1 2
Direct
0.822 0.822 0.644
0.178 0.178 0.356
0.000 0.500 0.000
0.500 0.000 0.000
0.000 0.000 0.000
0.635 0.635 0.271
0.365 0.365 0.729
```

# 4
The following is a GGA-PBE calculation of an optimized crystal structure of SiPt4Au, from the Alexandria database.

Output
size of the total moment	0.00	Bohr magnetons per cell
space-group type	C2/c, No. 15
ΔE to the lowest computed polymorph	0	meV per atom

```
SiPt4Au
1.0
4.357 0.000 0.000
0.000 6.861 0.609
-2.179 -2.105 6.619
Si Pt Au
2 8 2
Direct
0.500 0.000 0.500
0.000 0.500 0.500
0.618 0.065 0.839
0.779 0.435 0.161
0.382 0.935 0.161
0.221 0.565 0.839
0.035 0.860 0.618
0.417 0.640 0.382
0.965 0.140 0.382
0.583 0.360 0.618
0.805 0.750 0.000
0.195 0.250 0.000
```

# 5
The following is a GGA-PBE calculation of an optimized crystal structure of La3BiPt, from the Alexandria database.

Output
size of the total moment	0.00	Bohr magnetons per cell
space-group type	C2/m, No. 12
E_form	-0.81	eV/atom
ΔE to the lowest computed polymorph	102	meV per atom

```
La3BiPt
1.0
-5.409 0.588 -2.106
0.141 -1.840 7.190
1.703 9.112 -1.828
La Bi Pt
6 2 2
Direct
0.153 0.306 0.640
0.628 0.256 0.902
0.109 0.218 0.242
0.847 0.694 0.360
0.891 0.782 0.758
0.372 0.744 0.098
0.381 0.763 0.556
0.619 0.237 0.444
0.131 0.263 0.940
0.869 0.737 0.060
```

# 6
The following is a GGA-PBE calculation of an optimized crystal structure of Al2VPb, from the Alexandria database.

Output
size of the total moment	0.00	Bohr magnetons per cell
space-group type	I-42d, No. 122
E_form	0.59	eV/atom
ΔE to the lowest computed polymorph	67	meV per atom

```
Al2VPb
1.0
-2.689 4.972 -5.391
-3.265 -5.953 -3.862
-5.283 -0.166 -3.177
Pb Al V
2 4 2
Direct
0.000 0.000 0.000
0.750 0.250 0.500
0.579 0.125 0.250
0.171 0.625 0.250
0.375 0.421 0.750
0.875 0.829 0.750
0.500 0.500 0.000
0.250 0.750 0.500
```

# 7
The following is a GGA-PBE calculation of an optimized crystal structure of Tl4FeOs, from the Alexandria database.

Output
size of the total moment	5.61	Bohr magnetons per cell
space-group type	F-43m, No. 216
E_form	1.47	eV/atom

```
Tl4FeOs
1.0
0.000 4.262 4.262
4.262 0.000 4.262
4.262 4.262 0.000
Tl Fe Os
4 1 1
Direct
0.876 0.375 0.375
0.375 0.375 0.876
0.375 0.876 0.375
0.375 0.375 0.375
0.750 0.750 0.750
0.000 0.000 0.000
```

# 8
The following is a GGA-PBE calculation of an optimized crystal structure of Y2HfScAs4, from the Alexandria database.

Output
size of the total moment	0.00	Bohr magnetons per cell
space-group type	P2/m, No. 10
E_form	-1.38	eV/atom

```
Y2HfScAs4
1.0
-0.494 -3.904 -0.579
2.928 -1.274 6.099
-6.811 0.736 0.847
Y Hf Sc As
2 1 1 4
Direct
0.500 0.000 0.500
0.000 0.500 0.500
0.500 0.500 0.000
0.000 0.000 0.000
0.500 0.246 0.233
0.500 0.754 0.767
0.000 0.257 0.767
0.000 0.743 0.233
```

Question: size of the total moment of number 7 (Tl4FeOs)?
Answer: 5.61 Bohr magnetons per cell